{"formula": "Y4FeN3", "functional": "GGA-PBE", "state": "optimized geometry", "lattice": [[3.452, 0.000, 0.000], [-1.726, 2.990, 0.000], [0.000, 0.000, 25.442]], "species": ["Y", "Y", "Y", "Y", "Y", "Y", "Y", "Y", "Fe", "Fe", "N", "N", "N", "N", "N", "N"], "frac_coords": [[0.000, 0.000, 0.165], [0.000, 0.000, 0.335], [0.000, 0.000, 0.665], [0.000, 0.000, 0.835], [0.333, 0.667, 0.055], [0.333, 0.667, 0.445], [0.667, 0.333, 0.555], [0.667, 0.333, 0.945], [0.333, 0.667, 0.250], [0.667, 0.333, 0.750], [0.000, 0.000, 0.000], [0.000, 0.000, 0.500], [0.333, 0.667, 0.613], [0.333, 0.667, 0.887], [0.667, 0.333, 0.113], [0.667, 0.333, 0.387]], "energy_ry_per_atom": -0.62413, "crystal_system": "hexagonal"}

---

{"formula": "Ag2IrAu", "functional": "GGA-PBE", "state": "optimized geometry", "lattice": [[0.000, 3.230, 3.230], [3.230, 0.000, 3.230], [3.230, 3.230, 0.000]], "species": ["Ag", "Ag", "Ir", "Au"], "frac_coords": [[0.000, 0.000, 0.000], [0.250, 0.250, 0.250], [0.750, 0.750, 0.750], [0.500, 0.500, 0.500]], "crystal_system": "cubic", "ef_mev_per_atom": 398}

---

{"formula": "Li8Nb4O11", "functional": "GGA-PBE", "state": "optimized geometry", "lattice": [[5.142, 0.000, 0.000], [0.820, 5.121, 0.000], [0.172, 2.419, 8.685]], "species": ["Li", "Li", "Li", "Li", "Li", "Li", "Li", "Li", "Nb", "Nb", "Nb", "Nb", "O", "O", "O", "O", "O", "O", "O", "O", "O", "O", "O"], "frac_coords": [[0.000, 0.000, 0.000], [0.004, 0.008, 0.314], [0.237, 0.510, 0.235], [0.482, 0.009, 0.160], [0.490, 0.013, 0.817], [0.498, 0.007, 0.489], [0.738, 0.492, 0.732], [0.984, 0.011, 0.648], [0.212, 0.511, 0.908], [0.267, 0.509, 0.560], [0.718, 0.508, 0.410], [0.759, 0.511, 0.060], [0.117, 0.274, 0.455], [0.123, 0.255, 0.116], [0.125, 0.283, 0.780], [0.350, 0.741, 0.694], [0.364, 0.774, 0.358], [0.374, 0.749, 0.016], [0.623, 0.241, 0.619], [0.623, 0.280, 0.951], [0.636, 0.269, 0.288], [0.855, 0.745, 0.194], [0.869, 0.739, 0.525]], "relative_energy_mev_per_atom": 9, "crystal_system": "triclinic"}